i:
## TlAu4 (SCAN)

Data for TlAu4 at its PBEsol-relaxed geometry.

Cell: 5.4684 5.4684 5.4684 Å, 96.05 96.05 142.13°
Positions (direct):
Tl1 0.0000 0.0000 0.0000
Au1 0.1597 0.6365 0.7962
Au2 0.3635 0.1597 0.5232
Au3 0.6365 0.8403 0.4768
Au4 0.8403 0.3635 0.2038

## Properties
Space group ... I4/m



ii:
## TlAu4 (SCAN)

Data for TlAu4 at its PBEsol-relaxed geometry.

Cell: 7.3051 7.3051 7.3051 Å, 149.24 149.24 44.06°
Positions (direct):
Tl1 0.0000 0.0000 0.0000
Au1 0.2500 0.7500 0.5000
Au2 0.4006 0.4006 0.0000
Au3 0.5994 0.5994 0.0000
Au4 0.7500 0.2500 0.5000

## Properties
Space group ... I4/mmm



Decreasing stability: ii, i



i:
## TlZnAu2 (SCAN)

Data for TlZnAu2 at its PBEsol-relaxed geometry.

Cell: 3.1367 3.1367 7.5609 Å, 90.00 90.00 90.00°
Positions (direct):
Tl1 0.0000 0.0000 0.0000
Zn1 0.0000 0.0000 0.5000
Au1 0.5000 0.5000 0.3003
Au2 0.5000 0.5000 0.6997

## Properties
Space group ... P4/mmm



ii:
## TlZnAu2 (SCAN)

Data for TlZnAu2 at its PBEsol-relaxed geometry.

Cell: 4.6946 4.6946 4.6946 Å, 60.00 60.00 60.00°
Positions (direct):
Tl1 0.0000 0.0000 0.0000
Zn1 0.5000 0.5000 0.5000
Au1 0.2500 0.2500 0.2500
Au2 0.7500 0.7500 0.7500

## Properties
Space group ... Fm-3m



Decreasing stability: i, ii



i:
## ZrTl2Au (SCAN)

Data for ZrTl2Au at its PBEsol-relaxed geometry.

Cell: 5.6928 5.6928 5.6928 Å, 136.21 136.21 63.65°
Positions (direct):
Zr1 0.0000 0.0000 0.0000
Tl1 0.2500 0.7500 0.5000
Tl2 0.7500 0.2500 0.5000
Au1 0.5000 0.5000 0.0000

## Properties
Space group ... I4/mmm



ii:
## ZrTl2Au (SCAN)

Data for ZrTl2Au at its PBEsol-relaxed geometry.

Cell: 4.9755 4.9755 4.9755 Å, 60.00 60.00 60.00°
Positions (direct):
Zr1 0.0000 0.0000 0.0000
Tl1 0.5000 0.5000 0.5000
Tl2 0.7500 0.7500 0.7500
Au1 0.2500 0.2500 0.2500

## Properties
Space group ... F-43m



iii:
## ZrTl2Au (SCAN)

Data for ZrTl2Au at its PBEsol-relaxed geometry.

Cell: 3.2305 4.6140 5.8440 Å, 90.00 95.88 90.00°
Positions (direct):
Zr1 0.0000 0.0000 0.0000
Tl1 0.3332 0.5000 0.7481
Tl2 0.6668 0.5000 0.2519
Au1 0.5000 0.0000 0.5000

## Properties
Space group ... P2/m



Decreasing stability: iii, i, ii



i:
## Zn2WAu (SCAN)

Data for Zn2WAu at its PBEsol-relaxed geometry.

Cell: 4.3709 4.3709 4.3709 Å, 119.94 119.94 90.10°
Positions (direct):
Zn1 0.2500 0.7500 0.5000
Zn2 0.7500 0.2500 0.5000
W1 0.0000 0.0000 0.0000
Au1 0.5000 0.5000 0.0000

## Properties
Space group ... I4/mmm



ii:
## Zn2WAu (SCAN)

Data for Zn2WAu at its PBEsol-relaxed geometry.

Cell: 4.6955 4.6955 5.0572 Å, 100.73 100.73 33.73°
Positions (direct):
Zn1 0.2482 0.2482 0.2656
Zn2 0.7518 0.7518 0.7344
W1 0.0000 0.0000 0.5000
Au1 0.5000 0.5000 0.0000

## Properties
Space group ... C2/m



Decreasing stability: ii, i



i:
## ZrW2Au (SCAN)

Data for ZrW2Au at its PBEsol-relaxed geometry.

Cell: 4.5929 4.5929 4.5929 Å, 60.00 60.00 60.00°
Positions (direct):
Zr1 0.0000 0.0000 0.0000
W1 0.5000 0.5000 0.5000
W2 0.7500 0.7500 0.7500
Au1 0.2500 0.2500 0.2500

## Properties
Space group ... F-43m



ii:
## ZrW2Au (SCAN)

Data for ZrW2Au at its PBEsol-relaxed geometry.

Cell: 3.4147 4.3806 4.5687 Å, 90.00 90.00 90.00°
Positions (direct):
Zr1 0.0000 0.0000 0.0000
W1 0.0000 0.5000 0.5000
W2 0.5000 0.0000 0.5000
Au1 0.5000 0.5000 0.0000

## Properties
Space group ... Pmmm



iii:
## ZrW2Au (SCAN)

Data for ZrW2Au at its PBEsol-relaxed geometry.

Cell: 3.4153 3.4153 5.8799 Å, 90.00 90.00 90.00°
Positions (direct):
Zr1 0.0000 0.0000 0.0000
W1 0.5000 0.5000 0.2633
W2 0.5000 0.5000 0.7367
Au1 0.0000 0.0000 0.5000

## Properties
Space group ... P4/mmm



Decreasing stability: ii, i, iii



i:
## ZrWAu2 (SCAN)

Data for ZrWAu2 at its PBEsol-relaxed geometry.

Cell: 2.8759 2.8759 8.3207 Å, 90.00 90.00 90.00°
Positions (direct):
Zr1 0.0000 0.0000 0.0000
W1 0.0000 0.0000 0.5000
Au1 0.5000 0.5000 0.2617
Au2 0.5000 0.5000 0.7383

## Properties
Space group ... P4/mmm



ii:
## ZrWAu2 (SCAN)

Data for ZrWAu2 at its PBEsol-relaxed geometry.

Cell: 5.1152 5.1152 5.1152 Å, 133.20 133.20 68.34°
Positions (direct):
Zr1 0.0000 0.0000 0.0000
W1 0.2500 0.7500 0.5000
Au1 0.5000 0.5000 0.0000
Au2 0.7500 0.2500 0.5000

## Properties
Space group ... I-4m2



Decreasing stability: i, ii



i:
## Y5Au3 (SCAN)

Data for Y5Au3 at its PBEsol-relaxed geometry.

Cell: 8.5683 8.5683 6.1765 Å, 90.00 90.00 120.00°
Positions (direct):
Y1 0.0000 0.2443 0.2500
Y2 0.0000 0.7557 0.7500
Y3 0.2443 0.0000 0.2500
Y4 0.2443 0.2443 0.7500
Y5 0.3333 0.6667 0.0000
Y6 0.3333 0.6667 0.5000
Y7 0.6667 0.3333 0.0000
Y8 0.6667 0.3333 0.5000
Y9 0.7557 0.0000 0.7500
Y10 0.7557 0.7557 0.2500
Au1 0.0000 0.3979 0.7500
Au2 0.0000 0.6021 0.2500
Au3 0.3979 0.0000 0.7500
Au4 0.3979 0.3979 0.2500
Au5 0.6021 0.0000 0.2500
Au6 0.6021 0.6021 0.7500

## Properties
Space group ... P6_3/mcm



ii:
## Y5Au3 (SCAN)

Data for Y5Au3 at its PBEsol-relaxed geometry.

Cell: 8.5895 8.5895 8.5895 Å, 97.24 97.24 138.40°
Positions (direct):
Y1 0.0820 0.7904 0.8724
Y2 0.2096 0.0820 0.2916
Y3 0.2500 0.7500 0.5000
Y4 0.2904 0.5820 0.8724
Y5 0.4180 0.2904 0.7084
Y6 0.5820 0.7096 0.2916
Y7 0.7096 0.4180 0.1276
Y8 0.7500 0.2500 0.5000
Y9 0.7904 0.9180 0.7084
Y10 0.9180 0.2096 0.1276
Au1 0.1591 0.3409 0.5000
Au2 0.2500 0.2500 0.0000
Au3 0.3409 0.8409 0.1819
Au4 0.6591 0.1591 0.8181
Au5 0.7500 0.7500 0.0000
Au6 0.8409 0.6591 0.5000

## Properties
Space group ... I4/mcm



Decreasing stability: i, ii



i:
## YZrAu (SCAN)

Data for YZrAu at its PBEsol-relaxed geometry.

Cell: 4.7489 4.7489 4.7489 Å, 60.00 60.00 60.00°
Positions (direct):
Y1 0.0000 0.0000 0.0000
Zr1 0.5000 0.5000 0.5000
Au1 0.7500 0.7500 0.7500

## Properties
Space group ... F-43m



ii:
## YZrAu (SCAN)

Data for YZrAu at its PBEsol-relaxed geometry.

Cell: 4.7087 4.7087 3.6118 Å, 90.00 90.00 120.00°
Positions (direct):
Y1 0.0000 0.0000 0.0000
Zr1 0.3333 0.6667 0.4588
Au1 0.6667 0.3333 0.5887

## Properties
Space group ... P3m1



Decreasing stability: ii, i